First-principles (GGA-PBE) data for Be3PtO after structural relaxation, as listed in the Open Quantum Materials Database.

Properties
The calculation puts the total DFT energy (no corrections) at -4.21 eV/atom.

abc: 5.6747 5.6747 5.6747
angles: 120.43 120.43 89.26
Last column: nearest neighbours and their distance in Å.
Atoms (fractional coordinates):
Be (0.1348, 0.6348, 0.7696)  1 Be 2.15, 2 Pt 2.19, 2 O 2.29
Be (0.2500, 0.2500, 0.0000)  2 Pt 2.02
Be (0.3652, 0.1348, 0.5000)  1 Be 2.15, 2 Pt 2.19, 2 O 2.29
Be (0.6348, 0.8652, 0.5000)  1 Be 2.15, 2 Pt 2.19, 2 O 2.29
Be (0.7500, 0.7500, 0.0000)  2 Pt 2.02
Be (0.8652, 0.3652, 0.2304)  1 Be 2.15, 2 Pt 2.19, 2 O 2.29
Pt (0.0000, 0.0000, 0.0000)  6 Be 2.02-2.19
Pt (0.5000, 0.5000, 0.0000)  6 Be 2.02-2.19
O (0.2500, 0.7500, 0.5000)  4 Be 2.29
O (0.7500, 0.2500, 0.5000)  4 Be 2.29



First-principles (GGA-PBE) data for TmHg2 after structural relaxation, as listed in the Open Quantum Materials Database.

Properties
The calculation puts the energy of formation from the pure elements at -0.1477 eV/atom.

abc: 5.8737 5.8737 5.8737
angles: 60.00 60.00 60.00
Last column: nearest neighbours and their distance in Å.
Atoms (fractional coordinates):
Tm (0.1250, 0.1250, 0.1250)  12 Hg 3.44, 4 Tm 3.60
Tm (0.8750, 0.8750, 0.8750)  12 Hg 3.44, 4 Tm 3.60
Hg (0.0000, 0.5000, 0.5000)  6 Hg 2.94
Hg (0.5000, 0.0000, 0.5000)  6 Hg 2.94
Hg (0.5000, 0.5000, 0.0000)  6 Hg 2.94
Hg (0.5000, 0.5000, 0.5000)  6 Hg 2.94



First-principles (GGA-PBE) data for NaZrTeAuS2 after structural relaxation, as listed in the Open Quantum Materials Database.

Properties
The calculation puts the total DFT energy (no corrections) at -5.00 eV/atom.

abc: 7.4408 7.4408 10.5901
angles: 90.00 90.00 150.34
Last column: nearest neighbours and their distance in Å.
Atoms (fractional coordinates):
Na (0.2071, 0.7929, 0.7500)  4 S 3.11, 2 Au 3.14, 2 Te 3.26
Na (0.7929, 0.2071, 0.2500)  4 S 3.11, 2 Au 3.14, 2 Te 3.26
Zr (0.0000, 0.0000, 0.0000)  4 S 2.62
Zr (0.0000, 0.0000, 0.5000)  4 S 2.62
Te (0.1092, 0.8908, 0.2500)  2 Au 2.80, 2 Zr 3.08
Te (0.8908, 0.1092, 0.7500)  2 Au 2.80, 2 Zr 3.08
Au (0.4668, 0.5332, 0.2500)  2 S 2.45
Au (0.5332, 0.4668, 0.7500)  2 S 2.45
S (0.3807, 0.6193, 0.0510)  1 Au 2.45, 2 Zr 2.62
S (0.3807, 0.6193, 0.4490)  1 Au 2.45, 2 Zr 2.62
S (0.6193, 0.3807, 0.5510)  1 Au 2.45, 2 Zr 2.62
S (0.6193, 0.3807, 0.9490)  1 Au 2.45, 2 Zr 2.62



First-principles (GGA-PBE) data for Pr2TmMg3Tl2Cd after structural relaxation, as listed in the Open Quantum Materials Database.

Properties
The calculation puts the total DFT energy (no corrections) at -3.03 eV/atom.

abc: 4.7145 7.6111 7.6111
angles: 118.76 90.00 90.00
Last column: nearest neighbours and their distance in Å.
Atoms (fractional coordinates):
Pr (0.0000, 0.2111, 0.7889)  1 Cd 3.28, 4 Tl 3.32, 4 Mg 3.48-3.64
Pr (0.0000, 0.7889, 0.2111)  1 Cd 3.28, 4 Tl 3.32, 4 Mg 3.48-3.64
Tm (0.0000, 0.6357, 0.6357)  1 Cd 3.17, 4 Tl 3.22
Mg (0.5000, 0.2144, 0.4542)  2 Cd 2.95, 2 Tl 2.97-3.02, 2 Mg 3.14-3.17
Mg (0.5000, 0.4542, 0.2144)  2 Cd 2.95, 2 Tl 2.97-3.02, 2 Mg 3.14-3.17
Mg (0.5000, 0.9788, 0.9788)  2 Tl 2.96, 2 Cd 3.04, 2 Mg 3.17
Tl (0.5000, 0.5497, 0.8723)  3 Mg 2.96-3.02, 2 Tm 3.22, 2 Pr 3.32
Tl (0.5000, 0.8723, 0.5497)  3 Mg 2.96-3.02, 2 Tm 3.22, 2 Pr 3.32
Cd (0.0000, 0.2272, 0.2272)  6 Mg 2.95-3.04, 1 Tm 3.17, 2 Pr 3.28



First-principles (GGA-PBE) data for Zn4B2Pb3 after structural relaxation, as listed in the Open Quantum Materials Database.

Properties
The calculation puts the total DFT energy (no corrections) at -2.67 eV/atom.

abc: 7.1161 7.1161 3.8105
angles: 90.00 90.00 120.00
Last column: nearest neighbours and their distance in Å.
Atoms (fractional coordinates):
Zn (0.0000, 0.0000, 0.0000)  3 Zn 2.84, 6 Pb 3.01
Zn (0.1149, 0.6710, 0.0000)  2 B 2.47, 2 Zn 2.72
Zn (0.3290, 0.4439, 0.0000)  2 B 2.47, 2 Zn 2.72
Zn (0.5561, 0.8851, 0.0000)  2 B 2.47, 2 Zn 2.72
B (0.3333, 0.6667, 0.5000)  6 Zn 2.47
B (0.6667, 0.3333, 0.0000)  6 Pb 2.77, 3 Zn 2.88
Pb (0.3615, 0.0833, 0.5000)  3 B 2.77-2.87, 4 Zn 3.01-3.08
Pb (0.7219, 0.6385, 0.5000)  3 B 2.77-2.87, 4 Zn 3.01-3.08
Pb (0.9167, 0.2781, 0.5000)  3 B 2.77-2.87, 4 Zn 3.01-3.08



First-principles (GGA-PBE) data for AcErGa after structural relaxation, as listed in the Open Quantum Materials Database.

Properties
For the energy above the most stable polymorph in this dataset, the calculation gives 2.05 eV/f.u.

abc: 5.3179 5.3179 5.3179
angles: 60.00 60.00 60.00
Last column: nearest neighbours and their distance in Å.
Atoms (fractional coordinates):
Ac (0.0000, 0.0000, 0.0000)  4 Er 3.26, 4 Ga 3.26
Er (0.7500, 0.7500, 0.7500)  4 Ac 3.26
Ga (0.2500, 0.2500, 0.2500)  4 Ac 3.26



First-principles (GGA-PBE) data for HoZrZn2Ir4 after structural relaxation, as listed in the Open Quantum Materials Database.

Properties
The calculation puts the energy of formation from the pure elements at -0.5356 eV/atom.

abc: 4.5308 4.5308 6.4151
angles: 90.00 90.00 90.00
Last column: nearest neighbours and their distance in Å.
Atoms (fractional coordinates):
Ho (0.0000, 0.0000, 0.0000)  8 Ir 2.81
Zr (0.5000, 0.5000, 0.5000)  8 Ir 2.75
Zn (0.0000, 0.0000, 0.5000)  8 Ir 2.75
Zn (0.5000, 0.5000, 0.0000)  8 Ir 2.81
Ir (0.0000, 0.5000, 0.2581)  2 Zr 2.75, 4 Zn 2.75-2.81, 2 Ho 2.81
Ir (0.0000, 0.5000, 0.7419)  2 Zr 2.75, 4 Zn 2.75-2.81, 2 Ho 2.81
Ir (0.5000, 0.0000, 0.2581)  2 Zr 2.75, 4 Zn 2.75-2.81, 2 Ho 2.81
Ir (0.5000, 0.0000, 0.7419)  2 Zr 2.75, 4 Zn 2.75-2.81, 2 Ho 2.81



First-principles (GGA-PBE) data for NdMg2Cd after structural relaxation, as listed in the Open Quantum Materials Database.

Properties
For the energy above the most stable polymorph in this dataset, the calculation gives 0.00 eV/f.u.

abc: 5.1860 5.1860 5.1860
angles: 119.82 119.82 90.31
Last column: nearest neighbours and their distance in Å.
Atoms (fractional coordinates):
Nd (0.0000, 0.0000, 0.0000)  4 Cd 3.18, 4 Mg 3.18
Mg (0.2500, 0.7500, 0.5000)  4 Nd 3.18, 4 Mg 3.18
Mg (0.5000, 0.5000, 0.0000)  4 Cd 3.18, 4 Mg 3.18
Cd (0.7500, 0.2500, 0.5000)  4 Mg 3.18, 4 Nd 3.18